No. 1
{
  "formula": "BaSr2CaH",
  "functional": "PBE-GGA",
  "state": "optimized geometry",
  "spacegroup": "P4/mmm, No. 123",
  "de_polymorph_kj_per_mol_atoms": 0.0,
  "lattice_angstrom": [[5.773, 0.000, 0.000], [0.000, 5.773, 0.000], [0.000, 0.000, 5.972]],
  "species": ["Ba", "Sr", "Sr", "Ca", "H"],
  "frac_coords": [[0.000, 0.000, 0.000], [0.000, 0.500, 0.500], [0.500, 0.000, 0.500], [0.500, 0.500, 0.000], [0.000, 0.000, 0.500]]
}

---

No. 2
{
  "formula": "Nd2Mn2Co15",
  "functional": "PBE-GGA",
  "state": "optimized geometry",
  "ef_ev_per_fu": -0.88,
  "spacegroup": "R-3m, No. 166",
  "lattice_angstrom": [[4.211, 2.431, 4.090], [-4.211, 2.431, 4.090], [0.000, -4.863, 4.090]],
  "species": ["Nd", "Nd", "Mn", "Mn", "Co", "Co", "Co", "Co", "Co", "Co", "Co", "Co", "Co", "Co", "Co", "Co", "Co", "Co", "Co"],
  "frac_coords": [[0.152, 0.152, 0.152], [0.848, 0.848, 0.848], [0.396, 0.396, 0.396], [0.604, 0.604, 0.604], [0.000, 0.500, 0.500], [0.154, 0.154, 0.651], [0.154, 0.651, 0.154], [0.216, 0.500, 0.784], [0.216, 0.784, 0.500], [0.349, 0.846, 0.846], [0.500, 0.000, 0.500], [0.500, 0.216, 0.784], [0.500, 0.500, 0.000], [0.500, 0.784, 0.216], [0.651, 0.154, 0.154], [0.784, 0.216, 0.500], [0.784, 0.500, 0.216], [0.846, 0.349, 0.846], [0.846, 0.846, 0.349]]
}

---

No. 3
{
  "formula": "NaSnBiPb",
  "functional": "PBE-GGA",
  "state": "optimized geometry",
  "ef_ev_per_fu": -0.50,
  "spacegroup": "Pmmm, No. 47",
  "de_polymorph_kj_per_mol_atoms": 0.0,
  "lattice_angstrom": [[4.692, 0.000, 0.000], [0.000, 4.885, 0.000], [0.000, 0.000, 5.121]],
  "species": ["Na", "Sn", "Bi", "Pb"],
  "frac_coords": [[0.000, 0.000, 0.000], [0.000, 0.500, 0.500], [0.500, 0.500, 0.000], [0.500, 0.000, 0.500]]
}

---

No. 4
{
  "formula": "Zn4GaCu3",
  "functional": "PBE-GGA",
  "state": "optimized geometry",
  "ef_ev_per_fu": -0.15,
  "spacegroup": "C2/m, No. 12",
  "de_polymorph_kj_per_mol_atoms": 3.0,
  "lattice_angstrom": [[5.925, -2.300, 0.000], [5.925, 2.300, 0.000], [-1.613, 0.000, 4.072]],
  "species": ["Zn", "Zn", "Zn", "Zn", "Ga", "Cu", "Cu", "Cu"],
  "frac_coords": [[0.127, 0.127, 0.126], [0.368, 0.368, 0.367], [0.632, 0.632, 0.633], [0.873, 0.873, 0.874], [0.500, 0.500, 0.000], [0.000, 0.000, 0.500], [0.247, 0.247, 0.745], [0.753, 0.753, 0.255]]
}

---

No. 5
{
  "formula": "CsCo2Tc",
  "functional": "PBE-GGA",
  "state": "optimized geometry",
  "ef_ev_per_fu": 7.04,
  "spacegroup": "Fm-3m, No. 225",
  "lattice_angstrom": [[0.000, 3.305, 3.305], [3.305, 0.000, 3.305], [3.305, 3.305, 0.000]],
  "species": ["Cs", "Co", "Co", "Tc"],
  "frac_coords": [[0.000, 0.000, 0.000], [0.250, 0.250, 0.250], [0.750, 0.750, 0.750], [0.500, 0.500, 0.500]]
}

---

No. 6
{
  "formula": "TeMoCl2",
  "functional": "PBE-GGA",
  "state": "optimized geometry",
  "spacegroup": "Cmmm, No. 65",
  "de_polymorph_kj_per_mol_atoms": 111.1,
  "raw_formation_energy_ev_per_atom": 0.724,
  "lattice_angstrom": [[3.047, -4.506, 0.000], [3.047, 4.506, 0.000], [0.000, 0.000, 3.219]],
  "species": ["Te", "Mo", "Cl", "Cl"],
  "frac_coords": [[0.000, 0.000, 0.000], [0.500, 0.500, 0.000], [0.000, 0.500, 0.500], [0.500, 0.000, 0.500]]
}

---

No. 7
{
  "formula": "DyZnSnPd",
  "functional": "PBE-GGA",
  "state": "optimized geometry",
  "ef_ev_per_fu": -2.44,
  "spacegroup": "F-43m, No. 216",
  "lattice_angstrom": [[0.000, 3.419, 3.419], [3.419, 0.000, 3.419], [3.419, 3.419, 0.000]],
  "species": ["Dy", "Zn", "Sn", "Pd"],
  "frac_coords": [[0.000, 0.000, 0.000], [0.750, 0.750, 0.750], [0.500, 0.500, 0.500], [0.250, 0.250, 0.250]]
}

---

No. 8
{
  "formula": "PrNiC",
  "functional": "PBE-GGA",
  "state": "optimized geometry",
  "ef_ev_per_fu": 0.07,
  "spacegroup": "Imma, No. 74",
  "de_polymorph_kj_per_mol_atoms": 14.2,
  "lattice_angstrom": [[-2.924, 3.795, 2.428], [2.924, -3.795, 2.428], [2.924, 3.795, -2.428]],
  "species": ["Pr", "Pr", "Ni", "Ni", "C", "C"],
  "frac_coords": [[0.000, 0.000, 0.000], [0.500, 0.000, 0.500], [0.282, 0.532, 0.750], [0.718, 0.468, 0.250], [0.500, 0.000, 0.000], [0.500, 0.500, 0.500]]
}

---

No. 9
{
  "formula": "Te3PdSe",
  "functional": "PBE-GGA",
  "state": "optimized geometry",
  "spacegroup": "Pm-3m, No. 221",
  "de_polymorph_kj_per_mol_atoms": 32.6,
  "raw_formation_energy_ev_per_atom": 0.804,
  "lattice_angstrom": [[5.413, 0.000, 0.000], [0.000, 5.413, 0.000], [0.000, 0.000, 5.413]],
  "species": ["Te", "Te", "Te", "Pd", "Se"],
  "frac_coords": [[0.000, 0.000, 0.500], [0.000, 0.500, 0.000], [0.500, 0.000, 0.000], [0.500, 0.500, 0.500], [0.000, 0.000, 0.000]]
}

---

No. 10
{
  "formula": "K2PtWS",
  "functional": "PBE-GGA",
  "state": "optimized geometry",
  "spacegroup": "P4/mmm, No. 123",
  "raw_formation_energy_ev_per_atom": 0.962,
  "lattice_angstrom": [[6.653, 0.000, 0.000], [0.000, 6.653, 0.000], [0.000, 0.000, 4.485]],
  "species": ["K", "K", "Pt", "W", "S"],
  "frac_coords": [[0.000, 0.500, 0.000], [0.500, 0.000, 0.000], [0.000, 0.000, 0.500], [0.500, 0.500, 0.000], [0.500, 0.500, 0.500]]
}

---

No. 11
{
  "formula": "PrErRuRh",
  "functional": "PBE-GGA",
  "state": "optimized geometry",
  "ef_ev_per_fu": -1.86,
  "spacegroup": "F-43m, No. 216",
  "lattice_angstrom": [[0.000, 3.471, 3.471], [3.471, 0.000, 3.471], [3.471, 3.471, 0.000]],
  "species": ["Pr", "Er", "Ru", "Rh"],
  "frac_coords": [[0.000, 0.000, 0.000], [0.500, 0.500, 0.500], [0.250, 0.250, 0.250], [0.750, 0.750, 0.750]]
}

---

No. 12
{
  "formula": "Er4GaNi3",
  "functional": "PBE-GGA",
  "state": "optimized geometry",
  "ef_ev_per_fu": -4.03,
  "spacegroup": "Pmm2, No. 25",
  "lattice_angstrom": [[3.662, 0.000, 0.000], [0.000, 4.286, 0.000], [0.000, 0.000, 10.359]],
  "species": ["Er", "Er", "Er", "Er", "Ga", "Ni", "Ni", "Ni"],
  "frac_coords": [[0.000, 0.000, 0.000], [0.000, 0.500, 0.266], [0.500, 0.000, 0.477], [0.500, 0.500, 0.776], [0.000, 0.000, 0.700], [0.000, 0.500, 0.558], [0.500, 0.000, 0.204], [0.500, 0.500, 0.060]]
}

---

No. 13
{
  "formula": "Th3UAs4",
  "functional": "PBE-GGA",
  "state": "optimized geometry",
  "ef_ev_per_fu": -9.74,
  "spacegroup": "P2/c, No. 13",
  "lattice_angstrom": [[7.331, 0.000, 0.000], [0.000, 8.416, 0.000], [-2.418, 0.000, 6.873]],
  "species": ["Th", "Th", "Th", "Th", "Th", "Th", "U", "U", "As", "As", "As", "As", "As", "As", "As", "As"],
  "frac_coords": [[0.000, 0.125, 0.250], [0.000, 0.375, 0.750], [0.000, 0.625, 0.250], [0.000, 0.875, 0.750], [0.500, 0.127, 0.750], [0.500, 0.873, 0.250], [0.500, 0.377, 0.250], [0.500, 0.623, 0.750], [0.254, 0.129, 0.005], [0.254, 0.871, 0.505], [0.257, 0.379, 0.499], [0.257, 0.621, 0.999], [0.743, 0.379, 0.001], [0.743, 0.621, 0.501], [0.746, 0.129, 0.495], [0.746, 0.871, 0.995]]
}

---

No. 14
{
  "formula": "LiCa2Ir",
  "functional": "PBE-GGA",
  "state": "optimized geometry",
  "ef_ev_per_fu": 0.11,
  "spacegroup": "R-3m, No. 166",
  "de_polymorph_kj_per_mol_atoms": 24.7,
  "lattice_angstrom": [[2.091, 1.207, 7.942], [-2.091, 1.207, 7.942], [0.000, -2.414, 7.942]],
  "species": ["Li", "Ca", "Ca", "Ir"],
  "frac_coords": [[0.000, 0.000, 0.000], [0.226, 0.226, 0.226], [0.774, 0.774, 0.774], [0.500, 0.500, 0.500]]
}

---

No. 15
{
  "formula": "EuHgCl2",
  "functional": "PBE-GGA",
  "state": "optimized geometry",
  "spacegroup": "R-3m, No. 166",
  "de_polymorph_kj_per_mol_atoms": 0.0,
  "raw_formation_energy_ev_per_atom": -1.725,
  "lattice_angstrom": [[2.174, 1.255, 9.715], [-2.174, 1.255, 9.715], [0.000, -2.510, 9.715]],
  "species": ["Eu", "Hg", "Cl", "Cl"],
  "frac_coords": [[0.000, 0.000, 0.000], [0.500, 0.500, 0.500], [0.284, 0.284, 0.284], [0.716, 0.716, 0.716]]
}

---

No. 16
{
  "formula": "SrAsIr",
  "functional": "PBE-GGA",
  "state": "optimized geometry",
  "ef_ev_per_fu": -0.97,
  "spacegroup": "I4mm, No. 107",
  "lattice_angstrom": [[-1.738, 1.738, 5.459], [1.738, -1.738, 5.459], [1.738, 1.738, -5.459]],
  "species": ["Sr", "As", "Ir"],
  "frac_coords": [[0.000, 0.000, 0.000], [0.287, 0.287, 0.000], [0.711, 0.711, 0.000]]
}

---

Number 1: total energy -2.2415 eV/atom. Number 2: total energy -7.1233 eV/atom. Number 3: total energy -3.3520 eV/atom. Number 4: total energy -2.5700 eV/atom. Number 5: total energy -4.5971 eV/atom. Number 6: total energy -3.6925 eV/atom. Number 7: total energy -4.3787 eV/atom. Number 8: total energy -6.5706 eV/atom. Number 9: total energy -2.8162 eV/atom. Number 10: total energy -4.1014 eV/atom. Number 11: total energy -6.9586 eV/atom. Number 12: total energy -5.3317 eV/atom. Number 13: total energy -7.7361 eV/atom. Number 14: total energy -3.6658 eV/atom. Number 15: total energy -5.2921 eV/atom. Number 16: total energy -5.3872 eV/atom.